Crystalline SmNpU2S4 at its relaxed geometry. Source: Alexandria via LeMat-Bulk, functional GGA-PBE.

Output
crystal system = monoclinic
ΔE_f (raw) = -35.12 kcal/mol of atoms
DOS at the Fermi energy = 15.09 states/eV/cell
calculated total energy = -8.62 eV/atom
total magnetization = 9.04 μB per cell

Cell lengths 6.683, 3.876, 6.909 Å; angles 90.00, 108.96, 90.00 degrees
Element x y z (fractional)
Sm (0.000, 0.000, 0.000)
Np (0.500, 0.500, 0.000)
U (0.000, 0.500, 0.500)
U (0.500, 0.000, 0.500)
S (0.255, 0.000, 0.748)
S (0.256, 0.500, 0.255)
S (0.744, 0.500, 0.745)
S (0.745, 0.000, 0.252)

***

Crystalline Sm2YNpS4 at its relaxed geometry. Source: Alexandria via LeMat-Bulk, functional GGA-PBE.

Output
crystal system = monoclinic
ΔE_f (raw) = -42.83 kcal/mol of atoms
DOS at the Fermi energy = 11.07 states/eV/cell
calculated total energy = -7.53 eV/atom
total magnetization = 4.46 μB per cell

Cell lengths 6.861, 3.954, 6.878 Å; angles 90.00, 109.30, 90.00 degrees
Element x y z (fractional)
Sm (0.000, 0.000, 0.000)
Sm (0.500, 0.500, 0.000)
Y (0.000, 0.500, 0.500)
Np (0.500, 0.000, 0.500)
S (0.247, 0.000, 0.742)
S (0.253, 0.500, 0.258)
S (0.747, 0.500, 0.742)
S (0.753, 0.000, 0.258)

***

Crystalline SmYNp2S4 at its relaxed geometry. Source: Alexandria via LeMat-Bulk, functional GGA-PBE.

Output
crystal system = monoclinic
ΔE_f (raw) = -38.68 kcal/mol of atoms
DOS at the Fermi energy = 19.12 states/eV/cell
calculated total energy = -8.37 eV/atom
total magnetization = 0.08 μB per cell

Cell lengths 6.781, 3.945, 6.858 Å; angles 90.00, 109.67, 90.00 degrees
Element x y z (fractional)
Sm (0.000, 0.000, 0.000)
Y (0.000, 0.500, 0.500)
Np (0.500, 0.000, 0.500)
Np (0.500, 0.500, 0.000)
S (0.252, 0.000, 0.748)
S (0.255, 0.500, 0.257)
S (0.745, 0.500, 0.743)
S (0.748, 0.000, 0.252)

***

Crystalline Np5Sn2S12 at its relaxed geometry. Source: Alexandria via LeMat-Bulk, functional GGA-PBE.

Output
crystal system = monoclinic
ΔE_f (raw) = -22.26 kcal/mol of atoms
DOS at the Fermi energy = 45.38 states/eV/cell
calculated total energy = -7.40 eV/atom
total magnetization = 2.00 μB per cell

Cell lengths 8.284, 8.284, 9.529 Å; angles 109.93, 109.93, 53.66 degrees
Element x y z (fractional)
Np (0.000, 0.000, 0.000)
Np (0.276, 0.276, 0.530)
Np (0.285, 0.285, 0.112)
Np (0.715, 0.715, 0.888)
Np (0.724, 0.724, 0.470)
Sn (0.235, 0.765, 0.500)
Sn (0.765, 0.235, 0.500)
S (0.057, 0.546, 0.348)
S (0.098, 0.636, 0.013)
S (0.101, 0.101, 0.299)
S (0.364, 0.902, 0.987)
S (0.454, 0.943, 0.652)
S (0.478, 0.478, 0.674)
S (0.522, 0.522, 0.326)
S (0.546, 0.057, 0.348)
S (0.636, 0.098, 0.013)
S (0.899, 0.899, 0.701)
S (0.902, 0.364, 0.987)
S (0.943, 0.454, 0.652)

***

Repeat the first record exactly.
Crystalline SmNpU2S4 at its relaxed geometry. Source: Alexandria via LeMat-Bulk, functional GGA-PBE.

Output
crystal system = monoclinic
ΔE_f (raw) = -35.12 kcal/mol of atoms
DOS at the Fermi energy = 15.09 states/eV/cell
calculated total energy = -8.62 eV/atom
total magnetization = 9.04 μB per cell

Cell lengths 6.683, 3.876, 6.909 Å; angles 90.00, 108.96, 90.00 degrees
Element x y z (fractional)
Sm (0.000, 0.000, 0.000)
Np (0.500, 0.500, 0.000)
U (0.000, 0.500, 0.500)
U (0.500, 0.000, 0.500)
S (0.255, 0.000, 0.748)
S (0.256, 0.500, 0.255)
S (0.744, 0.500, 0.745)
S (0.745, 0.000, 0.252)

***

- Look up the calculated total energy of the second one.
  -7.53 eV/atom

***

- What is the ΔE_f (raw) in the first record?
  -35.12 kcal/mol of atoms

***

- What is the formula in the second record?
  Sm2YNpS4